First-principles (GGA-PBE) data for a relaxed HoGe2O5 crystal, as listed in Alexandria via LeMat-Bulk.

Cell: 3.4737 12.2702 5.0295 Å, 90.00 90.00 90.00°
Fractional coordinates of all 16 atoms:
Ho 0.2500 0.2500 0.0863
Ho 0.7500 0.7500 0.9137
Ge 0.2500 0.6056 0.4335
Ge 0.2500 0.8944 0.4335
Ge 0.7500 0.1056 0.5665
Ge 0.7500 0.3944 0.5665
O 0.2500 0.0805 0.4191
O 0.2500 0.4195 0.4191
O 0.2500 0.6421 0.0933
O 0.2500 0.7500 0.5963
O 0.2500 0.8579 0.0933
O 0.7500 0.1421 0.9067
O 0.7500 0.2500 0.4037
O 0.7500 0.3579 0.9067
O 0.7500 0.5805 0.5809
O 0.7500 0.9195 0.5809

First-principles (GGA-PBE) data for a relaxed HoGeO2 crystal, as listed in Alexandria via LeMat-Bulk.

Cell: 6.7941 6.7941 6.7941 Å, 29.27 29.27 29.27°
Fractional coordinates of all 4 atoms:
Ho 0.0000 0.0000 0.0000
Ge 0.5000 0.5000 0.5000
O 0.1116 0.1116 0.1116
O 0.8884 0.8884 0.8884

First-principles (GGA-PBE) data for a relaxed HoGeO4 crystal, as listed in Alexandria via LeMat-Bulk.

Cell: 5.9793 5.9793 5.3356 Å, 111.77 111.77 51.31°
Fractional coordinates of all 12 atoms:
Ho 0.2199 0.7801 0.7500
Ho 0.7801 0.2199 0.2500
Ge 0.0000 0.5000 0.0000
Ge 0.5000 0.0000 0.5000
O 0.1219 0.2086 0.6673
O 0.2086 0.1219 0.1673
O 0.3128 0.5040 0.0487
O 0.4960 0.6872 0.4513
O 0.5040 0.3128 0.5487
O 0.6872 0.4960 0.9513
O 0.7914 0.8781 0.8327
O 0.8781 0.7914 0.3327

First-principles (GGA-PBE) data for a relaxed HoPaGe2O8 crystal, as listed in Alexandria via LeMat-Bulk.

Cell: 5.9488 5.9488 5.9488 Å, 107.16 107.16 114.20°
Fractional coordinates of all 12 atoms:
Ho 0.0000 0.0000 0.0000
Pa 0.7500 0.2500 0.5000
Ge 0.2500 0.7500 0.5000
Ge 0.5000 0.5000 0.0000
O 0.0617 0.3796 0.3179
O 0.0617 0.7437 0.6821
O 0.1308 0.3186 0.8122
O 0.2563 0.9383 0.3179
O 0.5064 0.3186 0.1878
O 0.6204 0.9383 0.6821
O 0.6814 0.4936 0.8122
O 0.6814 0.8692 0.1878

First-principles (GGA-PBE) data for a relaxed HoPaGeO6 crystal, as listed in Alexandria via LeMat-Bulk.

Cell: 5.3583 5.3583 9.4778 Å, 90.00 90.00 120.00°
Fractional coordinates of all 18 atoms:
Ho 0.3333 0.6667 0.2500
Ho 0.6667 0.3333 0.7500
Pa 0.0000 0.0000 0.0000
Pa 0.0000 0.0000 0.5000
Ge 0.3333 0.6667 0.7500
Ge 0.6667 0.3333 0.2500
O 0.0450 0.3595 0.6329
O 0.0450 0.6855 0.8671
O 0.3145 0.3595 0.8671
O 0.3145 0.9550 0.6329
O 0.3595 0.0450 0.1329
O 0.3595 0.3145 0.3671
O 0.6405 0.6855 0.6329
O 0.6405 0.9550 0.8671
O 0.6855 0.0450 0.3671
O 0.6855 0.6405 0.1329
O 0.9550 0.3145 0.1329
O 0.9550 0.6405 0.3671

First-principles (GGA-PBE) data for a relaxed PmHoGe2O8 crystal, as listed in Alexandria via LeMat-Bulk.

Cell: 6.7603 6.7603 6.7603 Å, 135.35 135.35 64.99°
Fractional coordinates of all 12 atoms:
Pm 0.0000 0.0000 0.0000
Ho 0.2500 0.7500 0.5000
Ge 0.5000 0.5000 0.0000
Ge 0.7500 0.2500 0.5000
O 0.2725 0.6726 0.1124
O 0.3274 0.4398 0.6000
O 0.4144 0.0157 0.0881
O 0.5602 0.1601 0.8876
O 0.6737 0.5856 0.6013
O 0.8399 0.7275 0.4000
O 0.9276 0.3263 0.9119
O 0.9843 0.0724 0.3987

First-principles (GGA-PBE) data for a relaxed Pm4Ho2Ge3O2 crystal, as listed in Alexandria via LeMat-Bulk.

Cell: 12.4251 12.4251 12.4251 Å, 158.37 158.37 30.78°
Fractional coordinates of all 11 atoms:
Pm 0.0815 0.5815 0.5000
Pm 0.4185 0.9185 0.5000
Pm 0.5815 0.0815 0.5000
Pm 0.9185 0.4185 0.5000
Ho 0.1995 0.1995 0.0000
Ho 0.8005 0.8005 0.0000
Ge 0.3224 0.3224 0.0000
Ge 0.5000 0.5000 0.0000
Ge 0.6776 0.6776 0.0000
O 0.1065 0.1065 0.0000
O 0.8935 0.8935 0.0000

First-principles (GGA-PBE) data for a relaxed Pr2Ho4Ge3O2 crystal, as listed in Alexandria via LeMat-Bulk.

Cell: 12.5211 12.5211 12.5211 Å, 159.03 159.03 29.83°
Fractional coordinates of all 11 atoms:
Pr 0.1980 0.1980 0.0000
Pr 0.8020 0.8020 0.0000
Ho 0.0792 0.5792 0.5000
Ho 0.4208 0.9208 0.5000
Ho 0.5792 0.0792 0.5000
Ho 0.9208 0.4208 0.5000
Ge 0.3296 0.3296 0.0000
Ge 0.5000 0.5000 0.0000
Ge 0.6704 0.6704 0.0000
O 0.0897 0.0897 0.0000
O 0.9103 0.9103 0.0000

First-principles (GGA-PBE) data for a relaxed HoPuGe2O8 crystal, as listed in Alexandria via LeMat-Bulk.

Cell: 5.9267 5.9267 5.9267 Å, 107.23 107.23 114.05°
Fractional coordinates of all 12 atoms:
Ho 0.0000 0.0000 0.0000
Pu 0.7500 0.2500 0.5000
Ge 0.2500 0.7500 0.5000
Ge 0.5000 0.5000 0.0000
O 0.0611 0.3789 0.3178
O 0.0611 0.7432 0.6822
O 0.1286 0.3168 0.8119
O 0.2568 0.9389 0.3178
O 0.5049 0.3168 0.1881
O 0.6211 0.9389 0.6822
O 0.6832 0.4951 0.8119
O 0.6832 0.8714 0.1881

First-principles (GGA-PBE) data for a relaxed Rb2HoGeO4 crystal, as listed in Alexandria via LeMat-Bulk.

Cell: 6.2568 6.2568 6.2568 Å, 121.67 121.67 87.13°
Fractional coordinates of all 8 atoms:
Rb 0.0000 0.0000 0.0000
Rb 0.7500 0.2500 0.5000
Ho 0.5000 0.5000 0.0000
Ge 0.2500 0.7500 0.5000
O 0.2597 0.0942 0.6236
O 0.3638 0.7403 0.8345
O 0.4706 0.6362 0.3764
O 0.9058 0.5294 0.1655

First-principles (GGA-PBE) data for a relaxed Rb3Ho3GeO8 crystal, as listed in Alexandria via LeMat-Bulk.

Cell: 7.6698 7.6698 7.6698 Å, 52.03 52.03 52.03°
Fractional coordinates of all 15 atoms:
Rb 0.0000 0.5000 0.5000
Rb 0.5000 0.0000 0.5000
Rb 0.5000 0.5000 0.0000
Ho 0.0000 0.0000 0.5000
Ho 0.0000 0.5000 0.0000
Ho 0.5000 0.0000 0.0000
Ge 0.5000 0.5000 0.5000
O 0.2232 0.2232 0.2232
O 0.2579 0.7014 0.7014
O 0.2986 0.2986 0.7421
O 0.2986 0.7421 0.2986
O 0.7014 0.2579 0.7014
O 0.7014 0.7014 0.2579
O 0.7421 0.2986 0.2986
O 0.7768 0.7768 0.7768

First-principles (GGA-PBE) data for a relaxed Rb4Ho3GeO8 crystal, as listed in Alexandria via LeMat-Bulk.

Cell: 7.6532 7.6532 7.6532 Å, 53.57 53.57 53.57°
Fractional coordinates of all 16 atoms:
Rb 0.0000 0.0000 0.0000
Rb 0.0000 0.5000 0.5000
Rb 0.5000 0.0000 0.5000
Rb 0.5000 0.5000 0.0000
Ho 0.0000 0.0000 0.5000
Ho 0.0000 0.5000 0.0000
Ho 0.5000 0.0000 0.0000
Ge 0.5000 0.5000 0.5000
O 0.2249 0.2249 0.2249
O 0.2322 0.7208 0.7208
O 0.2792 0.2792 0.7678
O 0.2792 0.7678 0.2792
O 0.7208 0.2322 0.7208
O 0.7208 0.7208 0.2322
O 0.7678 0.2792 0.2792
O 0.7751 0.7751 0.7751

Number 1: magnetic moment 0.0 μB/f.u., E_form (uncorrected) -47.1 kcal/mol of atoms. Number 2: magnetic moment 0.0 μB/f.u., E_form (uncorrected) -28.7 kcal/mol of atoms. Number 3: magnetic moment 1.0 μB/f.u., E_form (uncorrected) -49.2 kcal/mol of atoms. Number 4: magnetic moment 0.0 μB/f.u., E_form (uncorrected) -61.7 kcal/mol of atoms. Number 5: magnetic moment 0.0 μB/f.u., E_form (uncorrected) -66.2 kcal/mol of atoms. Number 6: magnetic moment 2.0 μB/f.u., E_form (uncorrected) -51.4 kcal/mol of atoms. Number 7: magnetic moment 0.0 μB/f.u., E_form (uncorrected) -34.4 kcal/mol of atoms. Number 8: magnetic moment 0.7 μB/f.u., E_form (uncorrected) -36.7 kcal/mol of atoms. Number 9: magnetic moment 3.0 μB/f.u., E_form (uncorrected) -53.9 kcal/mol of atoms. Number 10: magnetic moment 0.0 μB/f.u., E_form (uncorrected) -45.6 kcal/mol of atoms. Number 11: magnetic moment 0.0 μB/f.u., E_form (uncorrected) -57.1 kcal/mol of atoms. Number 12: magnetic moment 0.0 μB/f.u., E_form (uncorrected) -52.8 kcal/mol of atoms.